A PBEsol-optimized structure of BaTiTeN2, computed with SCAN.

```
data_BaTiTeN2
_chemical_formula_sum 'Ba1 Ti1 Te1 N2'
_cell_length_a 4.3481
_cell_length_b 4.3481
_cell_length_c 6.6223
_cell_angle_alpha 90.00
_cell_angle_beta 90.00
_cell_angle_gamma 90.00
_space_group_name_H-M_alt 'P 4/m m m'
_space_group_IT_number 123
_space_group_name_Hall '-P 4 2'
loop_
_atom_site_label
_atom_site_fract_x
_atom_site_fract_y
_atom_site_fract_z
Ba1 0.0000 0.0000 0.0000
Ti1 0.5000 0.5000 0.5000
Te1 0.0000 0.0000 0.5000
N1 0.0000 0.5000 0.0000
```

Formation energy (no corrections), eV per formula unit: 7.1
M_tot, μB/atom: 0.05